1.
Er2Ga3Ni4Ge: relaxed, PBE-GGA.

Computed properties:
DOS at the Fermi energy = 6.07 states/eV per cell
Magnetization = 0.00 μB per formula unit
Total DFT energy (no corrections) = -0.19039 hartree per atom
ΔH_f (0 K) = -0.586 eV per atom

CIF file:
```
data_Er2Ga3Ni4Ge
_chemical_formula_sum 'Er2 Ga3 Ni4 Ge1'
_cell_length_a 3.992
_cell_length_b 3.992
_cell_length_c 10.107
_cell_angle_alpha 90.00
_cell_angle_beta 90.00
_cell_angle_gamma 90.00
_symmetry_space_group_name_H-M 'P 1'
_symmetry_Int_Tables_number 1
loop_
_symmetry_equiv_pos_as_xyz
'x,y,z'
loop_
_atom_site_label
_atom_site_fract_x
_atom_site_fract_y
_atom_site_fract_z
Ga1 0.000 0.500 0.132
Ga2 0.000 0.000 0.500
Ga3 0.500 0.000 0.868
Ni1 0.500 0.000 0.635
Ni2 0.000 0.500 0.365
Ni3 0.500 0.500 0.000
Ni4 0.000 0.000 0.000
Ge1 0.500 0.500 0.500
Er1 0.000 0.500 0.745
Er2 0.500 0.000 0.255
```

=====

2.
Zn8CoPt2: relaxed, PBE-GGA.

Computed properties:
DOS at the Fermi energy = 4.06 states/eV per cell
Magnetization = 0.25 μB per formula unit
Total DFT energy (no corrections) = -0.10819 hartree per atom
ΔH_f (0 K) = -0.273 eV per atom

CIF file:
```
data_Zn8CoPt2
_chemical_formula_sum 'Zn8 Co1 Pt2'
_cell_length_a 4.194
_cell_length_b 6.920
_cell_length_c 6.825
_cell_angle_alpha 120.46
_cell_angle_beta 107.89
_cell_angle_gamma 90.00
_symmetry_space_group_name_H-M 'P 1'
_symmetry_Int_Tables_number 1
loop_
_symmetry_equiv_pos_as_xyz
'x,y,z'
loop_
_atom_site_label
_atom_site_fract_x
_atom_site_fract_y
_atom_site_fract_z
Co1 0.500 0.000 0.000
Pt1 0.211 0.711 0.423
Pt2 0.789 0.289 0.577
Zn1 0.000 0.308 0.000
Zn2 0.360 0.566 0.719
Zn3 0.861 0.861 0.722
Zn4 0.640 0.434 0.281
Zn5 0.000 0.692 0.000
Zn6 0.640 0.847 0.281
Zn7 0.360 0.153 0.719
Zn8 0.139 0.139 0.278
```

=====

3.
Cs2NpAg2I6: relaxed, PBE-GGA.

Computed properties:
DOS at the Fermi energy = 11.11 states/eV per cell
E_form (uncorrected) = -798 meV per atom
Magnetization = 4.93 μB per formula unit
Total DFT energy (no corrections) = -0.12839 hartree per atom

CIF file:
```
data_Cs2NpAg2I6
_chemical_formula_sum 'Cs2 Np1 Ag2 I6'
_cell_length_a 8.832
_cell_length_b 8.806
_cell_length_c 9.322
_cell_angle_alpha 117.01
_cell_angle_beta 90.00
_cell_angle_gamma 120.10
_symmetry_space_group_name_H-M 'P 1'
_symmetry_Int_Tables_number 1
loop_
_symmetry_equiv_pos_as_xyz
'x,y,z'
loop_
_atom_site_label
_atom_site_fract_x
_atom_site_fract_y
_atom_site_fract_z
I1 0.793 0.108 0.788
I2 0.685 0.892 0.212
I3 0.207 0.892 0.212
I4 0.315 0.108 0.788
I5 0.265 0.530 0.380
I6 0.735 0.470 0.620
Cs1 0.273 0.547 0.799
Cs2 0.727 0.453 0.201
Ag1 0.954 0.909 0.825
Ag2 0.046 0.091 0.175
Np1 0.500 0.000 0.500
```